A geometry-optimized Fe2GeO4 structure. Source: Alexandria, functional GGA+U.

Results
Total DFT energy (no corrections), hartree per atom: -0.245
Total magnetization, μB/f.u.: 8.0

a b c (Å): 6.0305 6.0305 6.0305
angles (deg): 60.00 60.00 60.00
Last column: nearest neighbours and their distance in Å.
Atoms (fractional coordinates):
1 Fe 0.0000 0.0000 0.0000  6 O 2.16
2 Fe 0.0000 0.0000 0.5000  6 O 2.16
3 Fe 0.0000 0.5000 0.0000  6 O 2.16
4 Fe 0.5000 0.0000 0.0000  6 O 2.16
5 Ge 0.3750 0.3750 0.3750  4 O 1.80
6 Ge 0.6250 0.6250 0.6250  4 O 1.80
7 O 0.2530 0.2530 0.2530  1 Ge 1.80
8 O 0.2530 0.2530 0.7409  1 Ge 1.80
9 O 0.2530 0.7409 0.2530  1 Ge 1.80
10 O 0.2591 0.7470 0.7470  1 Ge 1.80
11 O 0.7409 0.2530 0.2530  1 Ge 1.80
12 O 0.7470 0.2591 0.7470  1 Ge 1.80
13 O 0.7470 0.7470 0.2591  1 Ge 1.80
14 O 0.7470 0.7470 0.7470  1 Ge 1.80